Ho4SiSb2 | PBE-GGA | relaxed

Uncorrected energy, eV for the cell shown: -147.2

a b c (Å): 9.3336 9.3454 9.3315
angles (deg): 90.00 90.00 90.00
Closest atoms and distances in Å follow each position.
Space group Imma (No. 74)
Asymmetric unit:
Ho 0.0000 0.0518 0.1843  1 Si 2.87, 3 Sb 2.99-3.04
Ho 0.1981 0.2500 0.5659  1 Si 2.87, 3 Sb 2.99-3.04
Si 0.0000 0.2500 0.8747  4 Ho 2.87
Sb 0.0000 0.0000 0.5000  6 Ho 2.99-3.04
Sb 0.2500 0.2500 0.2500  6 Ho 2.99-3.04


Sm8DySn6 | PBE-GGA | relaxed

Calculated formation energy, kJ per mole of atoms: -54.2

a b c (Å): 9.2175 9.2175 19.6956
angles (deg): 90.00 90.00 120.00
Closest atoms and distances in Å follow each position.
Space group R-3 (No. 148, hexagonal axes)
Asymmetric unit:
Sm 0.0000 0.0000 0.1664  6 Sn 3.35-3.36, 6 Sm 3.69
Sm 0.0007 0.6650 0.3953  5 Sn 3.15-3.38
Dy 0.0000 0.0000 0.5000  6 Sn 3.32
Sn 0.9997 0.3298 0.4329  7 Sm 3.15-3.38, 1 Dy 3.32


Ac4SnAu7 | PBE-GGA | relaxed

Calculated formation energy, kJ per mole of atoms: -66.4

a b c (Å): 15.6759 5.1750 9.8743
angles (deg): 90.00 120.79 90.00
Closest atoms and distances in Å follow each position.
Space group C2/m (No. 12)
Asymmetric unit:
Ac 0.0649 0.0000 0.2521  6 Au 3.09-3.34
Ac 0.2250 0.0000 0.7692  8 Au 3.15-3.49
Sn 0.0000 0.5000 0.5000  2 Au 2.59
Au 0.0000 0.0000 0.5000  2 Sn 2.59
Au 0.1088 0.5000 0.8510  1 Sn 2.98, 3 Au 3.04-3.23, 1 Ac 3.29
Au 0.1583 0.0000 0.0377  3 Au 3.04-3.23, 5 Ac 3.13-3.31
Au 0.1929 0.5000 0.4780  2 Au 3.05, 1 Sn 3.14, 4 Ac 3.29-3.34


AsSe2 | PBE-GGA | relaxed

Uncorrected energy, eV for the cell shown: -10.6

a b c (Å): 4.3430 4.3430 3.7038
angles (deg): 90.00 90.00 90.00
Closest atoms and distances in Å follow each position.
Space group P4/mmm (No. 123)
Asymmetric unit:
As 0.0000 0.0000 0.0000  8 Se 2.85
Se 0.0000 0.5000 0.5000  4 As 2.85, 4 Se 3.07


BaLaGe2 | PBE-GGA | relaxed

Calculated formation energy, kJ per mole of atoms: -59.2

a b c (Å): 4.1342 4.1342 7.0304
angles (deg): 90.00 90.00 90.00
Closest atoms and distances in Å follow each position.
Space group P4/mmm (No. 123)
Asymmetric unit:
Ba 0.0000 0.0000 0.0000  2 La 3.52, 8 Ge 3.67
La 0.0000 0.0000 0.5000  8 Ge 3.20, 2 Ba 3.52
Ge 0.5000 0.5000 0.3157  1 Ge 2.59


AgSn | PBE-GGA | relaxed

Calculated formation energy, kJ per mole of atoms: 18.0

a b c (Å): 10.2453 10.2453 3.9002
angles (deg): 90.00 90.00 90.00
Closest atoms and distances in Å follow each position.
Space group I4/m (No. 87)
Asymmetric unit:
Ag 0.0861 0.8292 0.0000  2 Ag 2.77, 4 Sn 2.87-2.94
Sn 0.1209 0.3618 0.0000  4 Ag 2.87-2.94


TbSm2Mn | PBE-GGA | relaxed

Calculated formation energy, kJ per mole of atoms: 26.0
Energy relative to the lowest polymorph listed for this composition, eV/f.u.: 0.430

a b c (Å): 3.5343 3.5343 31.8727
angles (deg): 90.00 90.00 120.00
Closest atoms and distances in Å follow each position.
Space group R-3m (No. 166, hexagonal axes)
Asymmetric unit:
Tb 0.0000 0.0000 0.0000  6 Tb 3.53, 6 Sm 3.62
Sm 0.0000 0.0000 0.2394  3 Mn 3.09
Mn 0.0000 0.0000 0.5000  6 Sm 3.09


La2Nd7Mg2 | PBE-GGA | relaxed

Calculated formation energy, kJ per mole of atoms: 5.1

a b c (Å): 3.8449 11.4239 17.4484
angles (deg): 90.00 90.00 90.00
Closest atoms and distances in Å follow each position.
Space group Immm (No. 71)
Asymmetric unit:
La 0.0000 0.1900 0.0000  6 Nd 3.57-3.90, 2 La 3.84
Nd 0.0000 0.0000 0.1856  2 Mg 3.34, 6 Nd 3.65-3.71
Nd 0.0000 0.0000 0.5000  4 Mg 3.36
Nd 0.0000 0.2308 0.3354  2 Mg 3.27, 2 La 3.57, 4 Nd 3.57-3.65
Mg 0.0000 0.5000 0.1579  8 Nd 3.27-3.36


SmMnSi2Ni | PBE-GGA | relaxed

Uncorrected energy, eV for the cell shown: -67.8

a b c (Å): 3.9884 3.9884 9.8318
angles (deg): 90.00 90.00 90.00
Closest atoms and distances in Å follow each position.
Space group I-4m2 (No. 119)
Asymmetric unit:
Sm 0.0000 0.0000 0.0000  8 Si 3.10, 4 Mn 3.17, 4 Ni 3.17
Mn 0.0000 0.5000 0.2500  4 Si 2.31
Si 0.0000 0.0000 0.3695  2 Mn 2.31, 2 Ni 2.31, 1 Si 2.57
Ni 0.0000 0.5000 0.7500  4 Si 2.31


LiSm | PBE-GGA | relaxed

Calculated formation energy, kJ per mole of atoms: 13.1
Energy relative to the lowest polymorph listed for this composition, eV/f.u.: 0.015

a b c (Å): 3.5408 5.4517 6.3016
angles (deg): 114.00 106.15 90.02
Closest atoms and distances in Å follow each position.
Space group P-1 (No. 2)
Asymmetric unit:
Li 0.1558 0.3985 0.3123  2 Li 2.71-2.72
Sm 0.3904 0.1466 0.7822  7 Li 3.29-3.64, 6 Sm 3.54-3.63


Be2Al2Pt | PBE-GGA | relaxed

Calculated formation energy, kJ per mole of atoms: -27.2

a b c (Å): 5.9810 5.9810 3.5021
angles (deg): 90.00 90.00 90.00
Closest atoms and distances in Å follow each position.
Space group P4/mbm (No. 127)
Asymmetric unit:
Be 0.1250 0.3750 0.0000  1 Be 2.11, 2 Pt 2.36
Al 0.1680 0.6680 0.5000  6 Be 2.48-2.49
Pt 0.0000 0.0000 0.0000  4 Be 2.36


CeY2In4 | PBE-GGA | relaxed

Calculated formation energy, kJ per mole of atoms: -26.6

a b c (Å): 5.2162 5.2162 7.6249
angles (deg): 90.00 90.00 90.00
Closest atoms and distances in Å follow each position.
Space group P4/mmm (No. 123)
Asymmetric unit:
Ce 0.0000 0.0000 0.0000  8 In 3.34, 4 Y 3.69
Y 0.0000 0.0000 0.5000  8 In 3.13
Y 0.5000 0.5000 0.0000  8 In 3.34, 4 Ce 3.69
In 0.0000 0.5000 0.2737  4 Y 3.13-3.34, 2 Ce 3.34, 1 In 3.45


Sm3HoEr3Te8 | PBE-GGA | relaxed

Uncorrected energy, eV for the cell shown: -234.3

a b c (Å): 8.7157 8.7157 21.4384
angles (deg): 90.00 90.00 120.00
Closest atoms and distances in Å follow each position.
Space group R-3m (No. 166, hexagonal axes)
Asymmetric unit:
Sm 0.0000 0.5000 0.0000  6 Te 3.13
Ho 0.0000 0.0000 0.5000  6 Te 3.13
Er 0.0000 0.5000 0.5000  6 Te 3.04
Te 0.0000 0.0000 0.2467  3 Er 3.04, 3 Sm 3.13
Te 0.0093 0.5046 0.7511  2 Er 3.04, 2 Sm 3.13, 1 Ho 3.13


Ta2CuSe | PBE-GGA | relaxed

Uncorrected energy, eV for the cell shown: -31.1

a b c (Å): 3.0650 3.0650 6.8444
angles (deg): 90.00 90.00 90.00
Closest atoms and distances in Å follow each position.
Space group P4/mmm (No. 123)
Asymmetric unit:
Ta 0.0000 0.0000 0.2451  4 Se 2.74, 4 Cu 2.78, 4 Ta 3.06
Cu 0.5000 0.5000 0.5000  8 Ta 2.78, 4 Cu 3.06
Se 0.5000 0.5000 0.0000  8 Ta 2.74, 4 Se 3.06


MnTeOs2 | PBE-GGA | relaxed

Uncorrected energy, eV for the cell shown: -62.1

a b c (Å): 2.9519 4.9539 9.3645
angles (deg): 90.00 90.00 90.00
Closest atoms and distances in Å follow each position.
Space group Cmm2 (No. 35)
Asymmetric unit:
Mn 0.0000 0.0000 0.0000  2 Os 2.56
Te 0.0000 0.5000 0.7311  6 Te 2.88-2.95, 2 Mn 2.92, 2 Os 3.00
Os 0.0000 0.0000 0.4522  6 Os 2.60-2.88
Os 0.0000 0.5000 0.2238  2 Mn 2.56, 2 Os 2.60


In2Rh3S2 | PBE-GGA | relaxed

Uncorrected energy, eV for the cell shown: -118.0

a b c (Å): 5.6859 5.6859 13.6973
angles (deg): 90.00 90.00 120.00
Closest atoms and distances in Å follow each position.
Space group R-3m (No. 166, hexagonal axes)
Asymmetric unit:
In 0.0000 0.0000 0.0000  6 Rh 2.84, 2 S 2.95
In 0.0000 0.0000 0.5000  6 Rh 2.81
Rh 0.0000 0.5000 0.0000  2 S 2.30
S 0.0000 0.0000 0.2152  3 Rh 2.30


CuH2Pt | PBE-GGA | relaxed

Energy relative to the lowest polymorph listed for this composition, eV/f.u.: 0.000

a b c (Å): 4.0468 4.0468 8.8166
angles (deg): 90.00 90.00 90.00
Closest atoms and distances in Å follow each position.
Space group I-42d (No. 122)
Asymmetric unit:
Cu 0.0000 0.0000 0.0000  4 H 1.82
H 0.2455 0.2500 0.6250  2 Pt 1.80, 2 Cu 1.82
Pt 0.0000 0.0000 0.5000  4 H 1.80


CuHg2W | PBE-GGA | relaxed

Calculated formation energy, kJ per mole of atoms: 49.2
Energy relative to the lowest polymorph listed for this composition, eV/f.u.: 0.000

a b c (Å): 3.9336 4.1214 8.9132
angles (deg): 90.00 90.00 90.00
Closest atoms and distances in Å follow each position.
Space group Cmm2 (No. 35)
Asymmetric unit:
Cu 0.0000 0.0000 0.0000  4 W 2.67-2.74, 4 Cu 2.85, 4 Hg 2.86-2.93
Hg 0.0000 0.0000 0.4586  4 Hg 2.85, 4 W 3.01-3.07
Hg 0.0000 0.5000 0.7667  4 Hg 2.85, 4 Cu 2.86-2.93
W 0.0000 0.5000 0.2032  4 Cu 2.67-2.74, 4 W 2.85


Sr3In8Au3 | PBE-GGA | relaxed

Calculated formation energy, kJ per mole of atoms: -42.1
Energy relative to the lowest polymorph listed for this composition, eV/f.u.: 0.000

a b c (Å): 17.6636 4.9106 10.5233
angles (deg): 90.00 126.40 90.00
Closest atoms and distances in Å follow each position.
Space group C2/m (No. 12)
Asymmetric unit:
Sr 0.0000 0.0000 0.0000  8 In 3.55-3.66, 4 Au 3.58
Sr 0.2107 0.5000 0.7165  10 In 3.41-3.76, 3 Au 3.45-3.81
In 0.0032 0.5000 0.6751  3 Au 2.89-3.05, 3 In 3.09-3.22
In 0.1407 0.0000 0.4308  1 Au 2.98, 5 In 3.01-3.22
In 0.1485 0.0000 0.8682  4 Au 2.86-3.14
In 0.1544 0.5000 0.2802  1 Au 2.81, 4 In 3.01-3.09
Au 0.0000 0.0000 0.5000  8 In 2.98-3.14
Au 0.1511 0.5000 0.0103  5 In 2.81-2.96


Cr2HgSe | PBE-GGA | relaxed

Energy relative to the lowest polymorph listed for this composition, eV/f.u.: 0.208

a b c (Å): 8.3995 3.2205 6.0701
angles (deg): 90.00 100.81 90.00
Closest atoms and distances in Å follow each position.
Space group Cm (No. 8)
Asymmetric unit:
Cr 0.0000 0.0000 0.0000  3 Cr 2.52-2.57, 3 Se 2.57-2.67
Cr 0.2274 0.5000 0.1355  3 Cr 2.52-2.57, 2 Se 2.53
Hg 0.4798 0.0000 0.4125  5 Cr 2.91-3.01, 2 Hg 3.22
Se 0.2548 0.0000 0.8240  5 Cr 2.53-2.67